Entry from Alexandria: Pm8Er6Sc after structural relaxation (PBE).

Cell lengths 9.7982, 9.7982, 17.5902 Å; angles 90.00, 90.00, 120.00 degrees
Space group R-3 (No. 148, hexagonal axes)
Asymmetric unit:
1 Pm 0.0000 0.0000 0.0903 x6
2 Pm 0.0566 0.8211 0.6717 x18
3 Er 0.0369 0.6285 0.8430 x18
4 Sc 0.0000 0.0000 0.5000 x3

Values from the calculation:
For the total DFT energy (no corrections), the calculation gives -4.5973 eV per atom. For the total magnetic moment, the calculation gives 0.000 μB per formula unit. The value obtained for the formation enthalpy at 0 K is 2.8 eV per formula unit. The energy above the most stable polymorph in this dataset is 11 meV/atom. Its crystal system is trigonal.